[1]
{"formula": "YCd5Ag7", "functional": "PBE", "state": "optimized geometry", "energy_ev_per_atom": -2.4453, "delta_e_f_ev_per_atom": -0.0608, "n_ef_per_ev_fu": 5.31, "crystal_system": "orthorhombic", "space_group": "No. 44", "cell": [[5.6531, 0.0000, 0.0000], [2.8265, 6.8865, 0.0011], [2.8265, -0.0212, 6.8865]], "species": ["Ag", "Cd", "Cd", "Ag", "Ag", "Ag", "Cd", "Ag", "Cd", "Cd", "Ag", "Ag", "Y"], "frac_coords": [[0.0020, 0.3471, 0.6489], [0.5023, 0.0024, 0.4928], [0.5023, 0.4928, 0.0024], [0.2960, 0.2040, 0.2040], [0.0020, 0.6489, 0.3471], [0.5021, 0.7817, 0.2140], [0.0025, 0.0024, 0.4928], [0.5021, 0.2140, 0.7817], [0.0025, 0.4928, 0.0024], [0.7087, 0.7913, 0.7913], [0.3415, 0.6585, 0.6585], [0.6446, 0.3554, 0.3554], [0.9916, 0.0084, 0.0084]]}



[2]
{"formula": "ThRuI", "functional": "PBE", "state": "optimized geometry", "e_form_raw_ev_per_atom": -0.63, "energy_ev_per_atom": -6.7151, "n_ef_per_ev_fu": 0.97, "crystal_system": "monoclinic", "space_group": "No. 11", "cell": [[4.0470, -0.0841, -0.6317], [-0.0138, 4.0491, -0.6240], [-2.2904, -2.1359, 12.1714]], "species": ["Th", "Ru", "Th", "I", "Ru", "I"], "frac_coords": [[0.3490, 0.7865, 0.0026], [0.0145, 0.9461, 0.1678], [0.1801, 0.6059, 0.3330], [0.6775, 0.1206, 0.8309], [0.5144, 0.4461, 0.1678], [0.8517, 0.2720, 0.5047]]}



[3]
{"formula": "K2Rb2Cl", "functional": "PBE", "state": "optimized geometry", "e_form_raw_ev_per_atom": -0.63, "energy_ev_per_atom": -1.8221, "n_ef_per_ev_fu": 3.48, "crystal_system": "tetragonal", "space_group": "No. 127", "cell": [[-6.2089, -4.6920, -4.3770], [1.2930, -6.8806, 5.5416], [-6.1644, 3.1579, 5.3592]], "species": ["K", "Cl", "Cl", "Rb", "Rb", "Rb", "K", "K", "Rb", "K"], "frac_coords": [[0.1721, 0.6721, 0.5000], [0.5000, 0.5000, 0.0000], [0.0000, 0.0000, 0.0000], [0.6967, 0.1967, 0.0000], [0.8033, 0.6967, 0.0000], [0.3033, 0.8033, 0.0000], [0.3279, 0.1721, 0.5000], [0.8279, 0.3279, 0.5000], [0.1967, 0.3033, 0.0000], [0.6721, 0.8279, 0.5000]]}



[4]
{"formula": "CePuPdRh", "functional": "PBE", "state": "optimized geometry", "energy_ev_per_atom": -8.7882, "delta_e_f_ev_per_atom": -0.5856, "n_ef_per_ev_fu": 12.26, "crystal_system": "orthorhombic", "space_group": "No. 38", "cell": [[-2.7161, -1.6685, -2.3434], [-0.8237, -2.8314, 2.9705], [-2.4248, 4.0972, 3.2329]], "species": ["Pd", "Rh", "Ce", "Pu"], "frac_coords": [[0.5861, 0.5000, 0.1722], [0.3985, 0.0000, 0.7971], [0.1474, 0.0000, 0.2949], [0.8679, 0.5000, 0.7358]]}



[5]
{"formula": "Pr6Os2PdI3", "functional": "PBE", "state": "optimized geometry", "e_form_raw_ev_per_atom": -0.69, "energy_ev_per_atom": -5.7687, "n_ef_per_ev_fu": 5.28, "crystal_system": "monoclinic", "space_group": "No. 12", "cell": [[7.3483, -0.0007, 0.0009], [-3.6730, 6.3645, 0.0009], [-1.2246, -2.1204, 8.2147]], "species": ["Pd", "I", "I", "Os", "Os", "Pr", "I", "Pr", "Pr", "Pr", "Pr", "Pr"], "frac_coords": [[0.0000, 0.0000, 0.0000], [0.1666, 0.8334, 0.5000], [0.8334, 0.1666, 0.5000], [0.6668, 0.3332, 0.0000], [0.3332, 0.6668, 0.0000], [0.4118, 0.0627, 0.1878], [0.5000, 0.5000, 0.5000], [0.0627, 0.4118, 0.1878], [0.7129, 0.7129, 0.1867], [0.5882, 0.9373, 0.8122], [0.9373, 0.5882, 0.8122], [0.2871, 0.2871, 0.8133]]}



[6]
{"formula": "PbC2N", "functional": "PBE", "state": "optimized geometry", "e_form_raw_ev_per_atom": 2.12, "energy_ev_per_atom": -5.4993, "n_ef_per_ev_fu": 1.45, "crystal_system": "tetragonal", "space_group": "No. 122", "cell": [[-3.1633, -3.5787, -2.0986], [3.5485, -3.7012, 0.9629], [-1.1704, -4.1749, 2.3989]], "species": ["C", "Pb", "C", "C", "Pb", "C", "N", "N"], "frac_coords": [[0.3750, 0.5057, 0.7500], [0.0000, 0.0000, 0.0000], [0.4943, 0.1250, 0.2500], [0.2557, 0.6250, 0.2500], [0.7500, 0.2500, 0.5000], [0.8750, 0.7443, 0.7500], [0.5000, 0.5000, 0.0000], [0.2500, 0.7500, 0.5000]]}



[7]
{"formula": "BaRe2Cl", "functional": "PBE", "state": "optimized geometry", "e_form_raw_ev_per_atom": 0.19, "energy_ev_per_atom": -6.9783, "n_ef_per_ev_fu": 3.59, "crystal_system": "monoclinic", "space_group": "No. 8", "cell": [[4.2105, -0.0050, 0.0203], [2.6581, 3.2654, 0.0203], [2.5672, 1.2186, 7.5757]], "species": ["Ba", "Re", "Re", "Cl"], "frac_coords": [[0.5156, 0.5156, 0.5174], [0.9708, 0.9708, 0.9308], [0.6943, 0.6943, 0.8237], [0.3193, 0.3193, 0.2281]]}



[8]
{"formula": "Sc2MnTc", "functional": "PBE", "state": "optimized geometry", "energy_ev_per_atom": -7.7904, "delta_e_f_ev_per_atom": 0.2593, "n_ef_per_ev_fu": 3.27, "crystal_system": "trigonal", "space_group": "No. 160", "cell": [[9.1479, 0.0108, 0.0063], [8.6467, 2.9865, 0.0063], [8.6467, 1.4564, 2.6073]], "species": ["Mn", "Sc", "Sc", "Tc"], "frac_coords": [[0.7585, 0.7585, 0.7585], [0.2383, 0.2383, 0.2383], [0.0143, 0.0143, 0.0143], [0.4889, 0.4889, 0.4889]]}